## Sc2BI (PBE-GGA)

Data for a relaxed Sc2BI crystal.

```
Sc2BI
1.0
2.196 0.000 7.943
-1.098 1.902 7.943
-1.098 -1.902 7.943
I Sc B
1 2 1
Direct
0.000 0.000 0.000 I
0.880 0.880 0.880 Sc
0.120 0.120 0.120 Sc
0.500 0.500 0.500 B
```

## Properties
The value obtained for the uncorrected formation energy is -0.42 eV/atom. The symmetry is R-3m. The total energy comes out at -22.58 eV per cell. Its mass density is 3.796 g/cm3.

***

## Ac2HgO (PBE-GGA)

Data for a relaxed Ac2HgO crystal.

```
Ac2HgO
1.0
-0.827 -0.012 -3.373
-2.935 -1.709 0.726
-3.942 7.168 0.941
Ac Hg O
2 1 1
Direct
0.000 0.000 0.791 Ac
0.000 0.000 0.209 Ac
0.500 0.500 0.500 Hg
0.500 0.500 0.000 O
```

## Properties
The value obtained for the uncorrected formation energy is -1.00 eV/atom. The symmetry is P4/mmm. The total energy comes out at -17.48 eV per cell. Its mass density is 11.211 g/cm3.

***

## Nd12GaCo5 (PBE-GGA)

Data for a relaxed Nd12GaCo5 crystal.

```
Nd12GaCo5
1.0
7.985 0.089 -3.025
-4.121 7.020 -2.582
0.015 -0.089 8.539
Nd Ga Co
12 1 5
Direct
0.516 0.814 0.701 Nd
0.484 0.186 0.299 Nd
0.887 0.186 0.701 Nd
0.113 0.814 0.299 Nd
0.696 0.681 0.377 Nd
0.304 0.319 0.623 Nd
0.304 0.681 0.985 Nd
0.696 0.319 0.015 Nd
0.811 0.607 0.796 Nd
0.189 0.393 0.204 Nd
0.189 0.986 0.796 Nd
0.811 0.014 0.204 Nd
0.000 0.500 0.500 Ga
0.622 0.622 0.000 Co
0.378 0.378 0.000 Co
0.500 0.113 0.613 Co
0.500 0.887 0.387 Co
0.000 0.000 0.000 Co
```

## Properties
The symmetry is Immm. As for the calculated formation energy: -0.120 eV/atom. The total energy comes out at -97.92 eV per cell. Its mass density is 7.261 g/cm3.

***

## Y3FeMo (PBE-GGA)

Data for a relaxed Y3FeMo crystal.

```
Y3FeMo
1.0
5.134 0.000 0.000
0.000 5.134 0.000
0.000 0.000 5.134
Y Mo Fe
3 1 1
Direct
0.000 0.500 0.000 Y
0.000 0.000 0.500 Y
0.500 0.000 0.000 Y
0.500 0.500 0.500 Mo
0.000 0.000 0.000 Fe
```

## Properties
The symmetry is Pm-3m. As for the calculated formation energy: 0.667 eV/atom. The total energy comes out at -35.35 eV per cell. Its mass density is 5.134 g/cm3.

***

## CdAg2Te (PBE-GGA)

Data for a relaxed CdAg2Te crystal.

```
CdAg2Te
1.0
7.178 -0.021 -0.067
-2.932 4.598 0.037
1.314 0.848 2.661
Te Ag Cd
1 2 1
Direct
0.500 0.500 0.000 Te
0.000 0.000 0.000 Ag
0.500 0.000 0.500 Ag
0.000 0.500 0.500 Cd
```

## Properties
The value obtained for the uncorrected formation energy is 0.10 eV/atom. The symmetry is C2/m. The total energy comes out at -9.38 eV per cell. Its mass density is 8.601 g/cm3.

***

## K3ZrSb (PBE-GGA)

Data for a relaxed K3ZrSb crystal.

```
K3ZrSb
1.0
6.336 0.000 0.000
0.000 6.336 0.000
0.000 0.000 6.336
Sb K Zr
1 3 1
Direct
0.500 0.500 0.500 Sb
0.000 0.500 0.000 K
0.000 0.000 0.500 K
0.500 0.000 0.000 K
0.000 0.000 0.000 Zr
```

## Properties
The value obtained for the uncorrected formation energy is 1.16 eV/atom. The symmetry is Pm-3m. The total energy comes out at -10.14 eV per cell. Its mass density is 2.156 g/cm3.